Entry 1:
The following is a DFT calculation (PBE) of a relaxed structure of TaAlRu2.

Geometry as CIF:
```
data_TaAlRu2
_cell_length_a 4.341
_cell_length_b 4.341
_cell_length_c 3.141
_cell_angle_alpha 90.00
_cell_angle_beta 90.00
_cell_angle_gamma 90.00
_space_group_name_H-M_alt 'P 4/m m m'
_space_group_IT_number 123
_space_group_name_Hall '-P 4 2'
loop_
_atom_site_label
_atom_site_fract_x
_atom_site_fract_y
_atom_site_fract_z
_atom_site_occupancy
Ta1 0.000 0.000 0.000 1
Al1 0.500 0.500 0.000 1
Ru1 0.000 0.500 0.500 1
```

Summary:
E_form = -2.715 eV/f.u.
E = -36.9 eV/cell



Entry 2:
The following is a DFT calculation (PBE) of a relaxed structure of Tl2CdHg2.

Geometry as CIF:
```
data_Tl2CdHg2
_cell_length_a 9.016
_cell_length_b 9.016
_cell_length_c 3.669
_cell_angle_alpha 90.00
_cell_angle_beta 90.00
_cell_angle_gamma 90.00
_space_group_name_H-M_alt 'P 4/m b m'
_space_group_IT_number 127
_space_group_name_Hall '-P 4 2ab'
loop_
_atom_site_label
_atom_site_fract_x
_atom_site_fract_y
_atom_site_fract_z
_atom_site_occupancy
Tl1 0.152 0.348 0.000 1
Cd1 0.000 0.000 0.000 1
Hg1 0.148 0.648 0.500 1
```

Summary:
E_form = 0.330 eV/f.u.
energy above the most stable polymorph in this dataset = 56 meV/atom
E = -11.8 eV/cell



Entry 3:
The following is a DFT calculation (PBE) of a relaxed structure of Zr2TlH.

Geometry as CIF:
```
data_Zr2TlH
_cell_length_a 3.2769
_cell_length_b 3.2769
_cell_length_c 23.2994
_cell_angle_alpha 90.00
_cell_angle_beta 90.00
_cell_angle_gamma 120.00
_space_group_name_H-M_alt 'R 3 m'
_space_group_IT_number 160
_space_group_name_Hall 'R 3 -2"'
loop_
_atom_site_label
_atom_site_fract_x
_atom_site_fract_y
_atom_site_fract_z
_atom_site_occupancy
Zr1 0.0000 0.0000 0.0000 1
Zr2 0.0000 0.0000 0.2188 1
Tl1 0.0000 0.0000 0.7759 1
H1 0.0000 0.0000 0.6103 1
```

Summary:
energy above the most stable polymorph in this dataset = 94 meV/atom
E = -70.2 eV/cell



Entry 4:
The following is a DFT calculation (PBE) of a relaxed structure of PrZnNi3.

Geometry as CIF:
```
data_PrZnNi3
_cell_length_a 4.709
_cell_length_b 16.284
_cell_length_c 4.608
_cell_angle_alpha 90.00
_cell_angle_beta 90.00
_cell_angle_gamma 90.00
_space_group_name_H-M_alt 'C m c m'
_space_group_IT_number 63
_space_group_name_Hall '-C 2c 2'
loop_
_atom_site_label
_atom_site_fract_x
_atom_site_fract_y
_atom_site_fract_z
_atom_site_occupancy
Pr1 0.000 0.094 0.250 1
Zn1 0.000 0.366 0.250 1
Ni1 0.000 0.500 0.000 1
Ni2 0.236 0.260 0.750 1
```

Summary:
E_form = -0.002 eV/f.u.
energy above the most stable polymorph in this dataset = 155 meV/atom
E = -93.6 eV/cell



Entry 5:
The following is a DFT calculation (PBE) of a relaxed structure of SrTa2Au.

Geometry as CIF:
```
data_SrTa2Au
_cell_length_a 4.177
_cell_length_b 4.186
_cell_length_c 9.937
_cell_angle_alpha 90.00
_cell_angle_beta 90.00
_cell_angle_gamma 90.00
_space_group_name_H-M_alt 'C m m m'
_space_group_IT_number 65
_space_group_name_Hall '-C 2 2'
loop_
_atom_site_label
_atom_site_fract_x
_atom_site_fract_y
_atom_site_fract_z
_atom_site_occupancy
Sr1 0.000 0.000 0.000 1
Ta1 0.000 0.500 0.293 1
Au1 0.000 0.000 0.500 1
```

Summary:
E_form = 2.535 eV/f.u.
energy above the most stable polymorph in this dataset = 414 meV/atom
E = -52.3 eV/cell



Entry 6:
The following is a DFT calculation (PBE) of a relaxed structure of PmEr2Al.

Geometry as CIF:
```
data_PmEr2Al
_cell_length_a 3.5616
_cell_length_b 3.5616
_cell_length_c 31.4089
_cell_angle_alpha 90.00
_cell_angle_beta 90.00
_cell_angle_gamma 120.00
_space_group_name_H-M_alt 'R 3 m'
_space_group_IT_number 160
_space_group_name_Hall 'R 3 -2"'
loop_
_atom_site_label
_atom_site_fract_x
_atom_site_fract_y
_atom_site_fract_z
_atom_site_occupancy
Pm1 0.0000 0.0000 0.0000 1
Er1 0.0000 0.0000 0.5714 1
Er2 0.0000 0.0000 0.7614 1
Al1 0.0000 0.0000 0.1660 1
```

Summary:
E_form = -0.285 eV/f.u.
energy above the most stable polymorph in this dataset = 128 meV/atom
E = -53.7 eV/cell



Entry 7:
The following is a DFT calculation (PBE) of a relaxed structure of Ga2SnBr2.

Geometry as CIF:
```
data_Ga2SnBr2
_cell_length_a 7.395
_cell_length_b 7.395
_cell_length_c 4.919
_cell_angle_alpha 90.00
_cell_angle_beta 90.00
_cell_angle_gamma 90.00
_space_group_name_H-M_alt 'P 4/m b m'
_space_group_IT_number 127
_space_group_name_Hall '-P 4 2ab'
loop_
_atom_site_label
_atom_site_fract_x
_atom_site_fract_y
_atom_site_fract_z
_atom_site_occupancy
Ga1 0.134 0.366 0.000 1
Sn1 0.000 0.000 0.000 1
Br1 0.218 0.718 0.500 1
```

Summary:
formation energy without anion corrections = -0.223 eV/atom
E = -29.0 eV/cell



Entry 8:
The following is a DFT calculation (PBE) of a relaxed structure of KGdHg2.

Geometry as CIF:
```
data_KGdHg2
_cell_length_a 7.762
_cell_length_b 7.762
_cell_length_c 7.762
_cell_angle_alpha 90.00
_cell_angle_beta 90.00
_cell_angle_gamma 90.00
_space_group_name_H-M_alt 'F m -3 m'
_space_group_IT_number 225
_space_group_name_Hall '-F 4 2 3'
loop_
_atom_site_label
_atom_site_fract_x
_atom_site_fract_y
_atom_site_fract_z
_atom_site_occupancy
K1 0.000 0.000 0.000 1
Gd1 0.000 0.000 0.500 1
Hg1 0.250 0.250 0.250 1
```

Summary:
E_form = -0.669 eV/f.u.
energy above the most stable polymorph in this dataset = 136 meV/atom
E = -65.8 eV/cell



Entry 9:
The following is a DFT calculation (PBE) of a relaxed structure of HfPa2S6.

Geometry as CIF:
```
data_HfPa2S6
_cell_length_a 6.349
_cell_length_b 6.869
_cell_length_c 10.598
_cell_angle_alpha 90.00
_cell_angle_beta 120.29
_cell_angle_gamma 90.00
_space_group_name_H-M_alt 'P 1 21/c 1'
_space_group_IT_number 14
loop_
_space_group_symop_operation_xyz
'x,y,z'
'-x,-y,-z'
'-x,y+1/2,-z+1/2'
'x,-y+1/2,z+1/2'
loop_
_atom_site_label
_atom_site_fract_x
_atom_site_fract_y
_atom_site_fract_z
_atom_site_occupancy
Hf1 0.000 0.000 0.000 1
Pa1 0.320 0.120 0.772 1
S1 0.082 0.054 0.256 1
S2 0.247 0.682 0.081 1
S3 0.383 0.187 0.059 1
```

Summary:
energy above the most stable polymorph in this dataset = 0 meV/atom
formation energy without anion corrections = -1.580 eV/atom
E = -135.9 eV/cell



Entry 10:
The following is a DFT calculation (PBE) of a relaxed structure of Sc4CdAg.

Geometry as CIF:
```
data_Sc4CdAg
_cell_length_a 8.212
_cell_length_b 8.212
_cell_length_c 8.212
_cell_angle_alpha 90.00
_cell_angle_beta 90.00
_cell_angle_gamma 90.00
_space_group_name_H-M_alt 'F -4 3 m'
_space_group_IT_number 216
_space_group_name_Hall 'F -4 2 3'
loop_
_atom_site_label
_atom_site_fract_x
_atom_site_fract_y
_atom_site_fract_z
_atom_site_occupancy
Sc1 0.125 0.125 0.125 1
Cd1 0.000 0.000 0.500 1
Ag1 0.250 0.250 0.750 1
```

Summary:
E_form = 1.505 eV/f.u.
energy above the most stable polymorph in this dataset = 418 meV/atom
E = -110.4 eV/cell



Entry 11:
The following is a DFT calculation (PBE) of a relaxed structure of ScFeBiAs2.

Geometry as CIF:
```
data_ScFeBiAs2
_cell_length_a 4.432
_cell_length_b 4.432
_cell_length_c 5.799
_cell_angle_alpha 90.00
_cell_angle_beta 90.00
_cell_angle_gamma 90.00
_space_group_name_H-M_alt 'P 4/m m m'
_space_group_IT_number 123
_space_group_name_Hall '-P 4 2'
loop_
_atom_site_label
_atom_site_fract_x
_atom_site_fract_y
_atom_site_fract_z
_atom_site_occupancy
Sc1 0.000 0.000 0.000 1
Fe1 0.500 0.500 0.500 1
Bi1 0.500 0.500 0.000 1
As1 0.000 0.500 0.500 1
```

Summary:
E_form = 0.519 eV/f.u.
E = -27.5 eV/cell



Entry 12:
The following is a DFT calculation (PBE) of a relaxed structure of Mg2ZrW.

Geometry as CIF:
```
data_Mg2ZrW
_cell_length_a 5.825
_cell_length_b 9.126
_cell_length_c 2.895
_cell_angle_alpha 90.00
_cell_angle_beta 90.00
_cell_angle_gamma 90.00
_space_group_name_H-M_alt 'C m m m'
_space_group_IT_number 65
_space_group_name_Hall '-C 2 2'
loop_
_atom_site_label
_atom_site_fract_x
_atom_site_fract_y
_atom_site_fract_z
_atom_site_occupancy
Mg1 0.250 0.250 0.000 1
Zr1 0.000 0.000 0.500 1
W1 0.000 0.500 0.500 1
```

Summary:
E_form = 1.498 eV/f.u.
energy above the most stable polymorph in this dataset = 172 meV/atom
E = -46.4 eV/cell